Here is a relaxed SrMg3Ag2 crystal from Alexandria. Energies are from PBE. Values from VASP.

The structure in Quantum ESPRESSO input format:
```
&SYSTEM
  ibrav = 0, nat = 12, ntyp = 3
/
ATOMIC_SPECIES
Sr 87.62 Sr.upf
Mg 24.30 Mg.upf
Ag 107.87 Ag.upf
CELL_PARAMETERS angstrom
4.571 0.000 0.000
-2.286 8.521 -0.035
0.000 -3.885 7.827
ATOMIC_POSITIONS crystal
Sr 0.149 0.297 0.067
Sr 0.851 0.703 0.933
Mg 0.960 0.919 0.629
Mg 0.685 0.369 0.452
Mg 0.597 0.193 0.685
Mg 0.315 0.631 0.548
Mg 0.040 0.081 0.371
Mg 0.403 0.807 0.315
Ag 0.807 0.614 0.317
Ag 0.193 0.386 0.683
Ag 0.481 0.962 0.830
Ag 0.519 0.038 0.170
```

## Properties
- Spin magnetization: 0.0 μB/f.u.
- SG: No. 12
- Crystal system: monoclinic
- Calculated formation energy: -0.19 eV/atom
- Theoretical density: 4.107 Mg/m³


Here is a relaxed SrMgAg2 crystal from Alexandria. Energies are from PBE. Values from VASP.

The structure in Quantum ESPRESSO input format:
```
&SYSTEM
  ibrav = 0, nat = 4, ntyp = 3
/
ATOMIC_SPECIES
Ag 107.87 Ag.upf
Mg 24.30 Mg.upf
Sr 87.62 Sr.upf
CELL_PARAMETERS angstrom
-2.653 1.773 3.588
-3.228 -2.786 2.206
1.743 -1.863 5.424
ATOMIC_POSITIONS crystal
Ag 0.454 0.454 0.639
Ag 0.046 0.046 0.861
Mg 0.750 0.750 0.750
Sr 0.250 0.250 0.250
```

## Properties
- Spin magnetization: 0.0 μB/f.u.
- SG: No. 166
- Crystal system: trigonal
- Calculated formation energy: -0.26 eV/atom
- Theoretical density: 5.131 Mg/m³


Here is a relaxed SrMg2Ag3 crystal from Alexandria. Energies are from PBE. Values from VASP.

The structure in Quantum ESPRESSO input format:
```
&SYSTEM
  ibrav = 0, nat = 12, ntyp = 3
/
ATOMIC_SPECIES
Mg 24.30 Mg.upf
Ag 107.87 Ag.upf
Sr 87.62 Sr.upf
CELL_PARAMETERS angstrom
-2.884 4.769 1.903
-4.479 -0.505 -5.523
-3.313 -3.963 4.913
ATOMIC_POSITIONS crystal
Mg 0.500 0.786 0.214
Mg 0.000 0.786 0.214
Mg 0.500 0.214 0.786
Mg 0.000 0.214 0.786
Ag 0.250 0.942 0.942
Ag 0.250 0.904 0.543
Ag 0.750 0.096 0.457
Ag 0.750 0.457 0.096
Ag 0.750 0.058 0.058
Ag 0.250 0.543 0.904
Sr 0.250 0.311 0.311
Sr 0.750 0.689 0.689
```

## Properties
- Spin magnetization: 0.0 μB/f.u.
- SG: No. 63
- Crystal system: orthorhombic
- Calculated formation energy: -0.21 eV/atom
- Theoretical density: 5.210 Mg/m³


Here is a relaxed Sr3Mg4Ag4 crystal from Alexandria. Energies are from PBE. Values from VASP.

The structure in Quantum ESPRESSO input format:
```
&SYSTEM
  ibrav = 0, nat = 11, ntyp = 3
/
ATOMIC_SPECIES
Ag 107.87 Ag.upf
Mg 24.30 Mg.upf
Sr 87.62 Sr.upf
CELL_PARAMETERS angstrom
-0.741 -4.514 -0.658
8.072 -1.335 0.074
-3.916 1.836 8.036
ATOMIC_POSITIONS crystal
Ag 0.779 0.279 0.558
Ag 0.500 0.813 0.000
Ag 0.500 0.187 0.000
Ag 0.221 0.721 0.442
Mg 0.324 0.517 0.648
Mg 0.324 0.132 0.648
Mg 0.676 0.483 0.352
Mg 0.676 0.868 0.352
Sr 0.877 0.877 0.755
Sr 0.000 0.500 0.000
Sr 0.123 0.123 0.245
```

## Properties
- Spin magnetization: 0.0 μB/f.u.
- SG: No. 71
- Crystal system: orthorhombic
- Calculated formation energy: -0.25 eV/atom
- Theoretical density: 4.443 Mg/m³


Q: Which value of theoretical density does entry 2 give?
A: 5.131 Mg/m³


Q: The lowest theoretical density belongs to which entry?
A: SrMg3Ag2